Record 1
Compound: Na2OF
Source: Alexandria via LeMat-Bulk
Functional: GGA-PBE
Structure: optimized geometry

Lattice parameters (Å, degrees): 3.4032 3.4032 20.8412 90.00 90.00 120.00
Element x y z (fractional)
Na 0.0000 0.0000 0.0992
Na 0.0000 0.0000 0.9008
Na 0.3333 0.6667 0.5675
Na 0.3333 0.6667 0.7659
Na 0.6667 0.3333 0.2341
Na 0.6667 0.3333 0.4325
O 0.0000 0.0000 0.5000
O 0.3333 0.6667 0.1667
O 0.6667 0.3333 0.8333
F 0.0000 0.0000 0.0000
F 0.3333 0.6667 0.6667
F 0.6667 0.3333 0.3333

Summary:
SG = No. 166


Record 2
Compound: Na3OF
Source: Alexandria via LeMat-Bulk
Functional: GGA-PBE
Structure: optimized geometry

Lattice parameters (Å, degrees): 7.3311 7.3311 6.0252 91.52 91.52 72.41
Element x y z (fractional)
Na 0.0411 0.3364 0.6368
Na 0.0528 0.7593 0.9103
Na 0.2407 0.9472 0.5897
Na 0.3364 0.0411 0.1368
Na 0.3556 0.3897 0.0136
Na 0.3897 0.3556 0.5136
Na 0.6103 0.6444 0.4864
Na 0.6444 0.6103 0.9864
Na 0.6636 0.9589 0.8632
Na 0.7593 0.0528 0.4103
Na 0.9472 0.2407 0.0897
Na 0.9589 0.6636 0.3632
O 0.1495 0.3651 0.2735
O 0.3651 0.1495 0.7735
O 0.6349 0.8505 0.2265
O 0.8505 0.6349 0.7265
F 0.0763 0.9237 0.2500
F 0.3637 0.6363 0.7500
F 0.6363 0.3637 0.2500
F 0.9237 0.0763 0.7500

Summary:
SG = No. 15


Record 3
Compound: NaOF2
Source: Alexandria via LeMat-Bulk
Functional: GGA-PBE
Structure: optimized geometry

Lattice parameters (Å, degrees): 3.4662 3.4662 16.8724 90.00 90.00 120.00
Element x y z (fractional)
Na 0.0000 0.0000 0.0000
Na 0.3333 0.6667 0.6667
Na 0.6667 0.3333 0.3333
O 0.0000 0.0000 0.5000
O 0.3333 0.6667 0.1667
O 0.6667 0.3333 0.8333
F 0.0000 0.0000 0.3989
F 0.0000 0.0000 0.6011
F 0.3333 0.6667 0.0656
F 0.3333 0.6667 0.2677
F 0.6667 0.3333 0.7323
F 0.6667 0.3333 0.9344

Summary:
SG = No. 166


Record 4
Compound: Na4O2F
Source: Alexandria via LeMat-Bulk
Functional: GGA-PBE
Structure: optimized geometry

Lattice parameters (Å, degrees): 6.1910 6.1910 6.1910 110.36 110.36 107.70
Element x y z (fractional)
Na 0.1291 0.2420 0.7476
Na 0.1314 0.7444 0.7524
Na 0.2556 0.0080 0.3871
Na 0.4944 0.3814 0.2524
Na 0.6186 0.8709 0.1129
Na 0.6209 0.8686 0.6129
Na 0.7580 0.5056 0.8871
Na 0.9920 0.3791 0.2476
O 0.2564 0.6250 0.1314
O 0.3750 0.5064 0.6314
O 0.4936 0.1250 0.8686
O 0.8750 0.7436 0.3686
F 0.0000 0.0000 0.0000
F 0.7500 0.2500 0.5000

Summary:
SG = No. 122


no.,magnetization (μB per formula unit),excess energy over the best structure of this formula in the dataset (eV/atom)
1,1.0,0.282
2,0.0,0.000
3,1.0,0.000
4,1.0,0.000